Entry from Alexandria via LeMat-Bulk: an optimized crystal structure of VC2F (PBE+U).

Unit cell a=5.3059 b=5.3059 c=5.3059 alpha=90.00 beta=90.00 gamma=90.00
Last column: nearest neighbours and their distance in Å.
Space group Fm-3m (No. 225)
One atom of each set of equivalent atoms:
V 0.0000 0.0000 0.0000 (multiplicity 4)  8 C 2.30
C 0.2500 0.2500 0.2500 (multiplicity 8)  4 F 2.30, 4 V 2.30
F 0.0000 0.0000 0.5000 (multiplicity 4)  8 C 2.30


Entry from Alexandria via LeMat-Bulk: an optimized crystal structure of VC3F (PBE+U).

Unit cell a=3.9333 b=3.9333 c=3.9333 alpha=90.00 beta=90.00 gamma=90.00
Last column: nearest neighbours and their distance in Å.
Space group Pm-3m (No. 221)
One atom of each set of equivalent atoms:
V 0.0000 0.0000 0.0000 (multiplicity 1)  6 C 1.97
C 0.0000 0.0000 0.5000 (multiplicity 3)  2 V 1.97
F 0.5000 0.5000 0.5000 (multiplicity 1)  12 C 2.78


Total DFT energy (no corrections) in eV/cell, matching the order above: -79.007 -26.077
Total moment in μB/f.u., matching the order above: 1.11 0.37